(1)
DFT (PBE) results for crystalline RbIr3Ru at its relaxed geometry.

Results
mass density = 11.25 g cm⁻³
total magnetization = 0.000 μB/f.u.

Cell: 4.829 4.829 4.829 Å, 90.00 90.00 90.00°
Positions (direct):
Ru 0.000 0.000 0.000
Ir 0.000 0.500 0.000
Ir 0.000 0.000 0.500
Ir 0.500 0.000 0.000
Rb 0.500 0.500 0.500

(2)
DFT (PBE) results for crystalline RbIr3Ru at its relaxed geometry.

Results
mass density = 11.63 g cm⁻³
total magnetization = 5.056 μB/f.u.

Cell: 4.777 4.777 4.777 Å, 90.00 90.00 90.00°
Last column: magnetic moment on the atom in μB.
Positions (direct):
Ru 0.500 0.500 0.500  2.59
Ir 0.000 0.500 0.000  0.87
Ir 0.000 0.000 0.500  0.60
Ir 0.500 0.000 0.000  0.94
Rb 0.000 0.000 0.000  -0.01

Most stable structure: (1)

(1)
DFT (PBE) results for crystalline RbIrS3 at its relaxed geometry.

Results
mass density = 4.05 g cm⁻³
total magnetization = 4.175 μB/f.u.

Cell: 5.350 5.350 5.350 Å, 90.00 90.00 90.00°
Last column: magnetic moment on the atom in μB.
Positions (direct):
S 0.000 0.500 0.000  0.45
S 0.000 0.000 0.500  0.33
S 0.500 0.000 0.000  0.37
Ir 0.500 0.500 0.500  2.23
Rb 0.000 0.000 0.000  0.00

(2)
DFT (PBE) results for crystalline RbIrS3 at its relaxed geometry.

Results
mass density = 4.84 g cm⁻³
total magnetization = 0.000 μB/f.u.

Cell: 6.528 6.528 7.907 Å, 65.62 65.62 60.00°
Positions (direct):
Rb 0.111 0.111 0.666
Rb 0.889 0.889 0.334
Ir 0.334 0.334 0.998
Ir 0.666 0.666 0.002
S 0.066 0.569 0.795
S 0.570 0.066 0.795
S 0.431 0.430 0.205
S 0.430 0.934 0.205
S 0.934 0.431 0.205
S 0.569 0.570 0.795

Most stable structure: (2)

(1)
DFT (PBE) results for crystalline RbIr2S2 at its relaxed geometry.

Results
mass density = 6.47 g cm⁻³
total magnetization = 0.000 μB/f.u.

Cell: 8.868 8.868 3.487 Å, 90.00 90.00 90.00°
Positions (direct):
S 0.297 0.797 0.500
S 0.797 0.703 0.500
S 0.703 0.203 0.500
S 0.203 0.297 0.500
Ir 0.402 0.902 0.000
Ir 0.902 0.598 0.000
Ir 0.598 0.098 0.000
Ir 0.098 0.402 0.000
Rb 0.000 0.000 0.000
Rb 0.500 0.500 0.000

(2)
DFT (PBE) results for crystalline RbIr2S2 at its relaxed geometry.

Results
mass density = 7.63 g cm⁻³
total magnetization = 0.000 μB/f.u.

Cell: 4.461 4.461 6.637 Å, 70.36 70.36 90.00°
Positions (direct):
S 0.750 0.250 0.500
S 0.250 0.750 0.500
Ir 0.313 0.313 0.374
Ir 0.687 0.687 0.626
Rb 0.000 0.000 0.000

Most stable structure: (2)

(1)
DFT (PBE) results for crystalline RbSb2TeIr at its relaxed geometry.

Results
mass density = 6.67 g cm⁻³
total magnetization = 0.000 μB/f.u.

Cell: 5.133 5.133 6.135 Å, 90.00 90.00 90.00°
Positions (direct):
Sb 0.000 0.500 0.000
Sb 0.500 0.000 0.000
Ir 0.000 0.000 0.000
Te 0.000 0.000 0.500
Rb 0.500 0.500 0.500

(2)
DFT (PBE) results for crystalline RbSb2TeIr at its relaxed geometry.

Results
mass density = 5.20 g cm⁻³
total magnetization = 2.248 μB/f.u.

Cell: 5.906 5.906 5.941 Å, 90.00 90.00 90.00°
Last column: magnetic moment on the atom in μB.
Positions (direct):
Sb 0.000 0.500 0.000  -0.01
Sb 0.500 0.000 0.000  -0.01
Ir 0.500 0.500 0.500  1.98
Te 0.000 0.000 0.500  0.09
Rb 0.000 0.000 0.000  0.02

Most stable structure: (1)

(1)
DFT (PBE) results for crystalline RbSc2Ir at its relaxed geometry.

Results
mass density = 4.38 g cm⁻³
total magnetization = 0.000 μB/f.u.

Cell: 10.418 10.418 10.418 Å, 22.02 22.02 22.02°
Positions (direct):
Sc 0.874 0.874 0.874
Sc 0.126 0.126 0.126
Ir 0.500 0.500 0.500
Rb 0.000 0.000 0.000

(2)
DFT (PBE) results for crystalline RbSc2Ir at its relaxed geometry.

Results
mass density = 7.01 g cm⁻³
total magnetization = 0.000 μB/f.u.

Cell: 4.975 4.975 4.975 Å, 60.00 60.00 60.00°
Positions (direct):
Sc 0.250 0.250 0.250
Sc 0.750 0.750 0.750
Ir 0.500 0.500 0.500
Rb 0.000 0.000 0.000

(3)
DFT (PBE) results for crystalline RbSc2Ir at its relaxed geometry.

Results
mass density = 5.90 g cm⁻³
total magnetization = 0.000 μB/f.u.

Cell: 11.817 11.817 11.817 Å, 15.56 15.56 15.56°
Positions (direct):
Sc 0.931 0.931 0.931
Sc 0.069 0.069 0.069
Ir 0.000 0.000 0.000
Rb 0.500 0.500 0.500

(4)
DFT (PBE) results for crystalline RbSc2Ir at its relaxed geometry.

Results
mass density = 3.33 g cm⁻³
total magnetization = 0.000 μB/f.u.

Cell: 8.026 8.026 8.039 Å, 60.05 60.05 90.00°
Positions (direct):
Sc 0.875 0.125 0.250
Sc 0.875 0.625 0.250
Sc 0.375 0.125 0.750
Sc 0.875 0.125 0.750
Ir 0.000 0.000 0.000
Ir 0.750 0.250 0.500
Rb 0.500 0.500 0.000
Rb 0.250 0.750 0.500

Most stable structure: (1)

(1)
DFT (PBE) results for crystalline Rb2ScIr at its relaxed geometry.

Results
mass density = 5.61 g cm⁻³
total magnetization = 0.000 μB/f.u.

Cell: 5.549 5.549 5.549 Å, 60.00 60.00 60.00°
Positions (direct):
Sc 0.000 0.000 0.000
Ir 0.500 0.500 0.500
Rb 0.250 0.250 0.250
Rb 0.750 0.750 0.750

(2)
DFT (PBE) results for crystalline Rb2ScIr at its relaxed geometry.

Results
mass density = 3.34 g cm⁻³
total magnetization = 0.000 μB/f.u.

Cell: 12.976 12.976 9.486 Å, 46.85 46.85 90.00°
Positions (direct):
Sc 0.500 0.500 0.000
Sc 0.250 0.750 0.500
Ir 0.000 0.000 0.000
Ir 0.750 0.250 0.500
Rb 0.784 0.125 0.250
Rb 0.966 0.625 0.250
Rb 0.375 0.216 0.750
Rb 0.875 0.034 0.750

Most stable structure: (2)

(1)
DFT (PBE) results for crystalline RbIr3Se at its relaxed geometry.

Results
mass density = 11.47 g cm⁻³
total magnetization = 0.000 μB/f.u.

Cell: 4.752 4.752 4.752 Å, 90.00 90.00 90.00°
Positions (direct):
Ir 0.000 0.500 0.000
Ir 0.000 0.000 0.500
Ir 0.500 0.000 0.000
Se 0.000 0.000 0.000
Rb 0.500 0.500 0.500

(2)
DFT (PBE) results for crystalline RbIr3Se at its relaxed geometry.

Results
mass density = 10.44 g cm⁻³
total magnetization = 1.845 μB/f.u.

Cell: 4.903 4.903 4.903 Å, 90.00 90.00 90.00°
Last column: magnetic moment on the atom in μB.
Positions (direct):
Ir 0.000 0.500 0.000  0.67
Ir 0.000 0.000 0.500  0.52
Ir 0.500 0.000 0.000  0.54
Se 0.500 0.500 0.500  0.10
Rb 0.000 0.000 0.000  -0.02

Most stable structure: (1)

(1)
DFT (PBE) results for crystalline RbSi2Ir at its relaxed geometry.

Results
mass density = 4.44 g cm⁻³
total magnetization = 0.000 μB/f.u.

Cell: 6.240 6.240 7.780 Å, 66.35 66.35 90.00°
Positions (direct):
Si 0.875 0.125 0.250
Si 0.875 0.625 0.250
Si 0.375 0.125 0.750
Si 0.875 0.125 0.750
Ir 0.000 0.000 0.000
Ir 0.750 0.250 0.500
Rb 0.500 0.500 0.000
Rb 0.250 0.750 0.500

(2)
DFT (PBE) results for crystalline RbSi2Ir at its relaxed geometry.

Results
mass density = 7.71 g cm⁻³
total magnetization = 0.000 μB/f.u.

Cell: 4.667 4.667 4.667 Å, 60.00 60.00 60.00°
Positions (direct):
Si 0.250 0.250 0.250
Si 0.750 0.750 0.750
Ir 0.500 0.500 0.500
Rb 0.000 0.000 0.000

Most stable structure: (1)